1.
# GGA-PBE TlNiGe2Se, optimized geometry
# Formation energy without anion corrections, eV/f.u.: 0.3
# Total magnetization, μB/cell: 0.00
data_TlNiGe2Se
_cell_length_a 4.606
_cell_length_b 4.606
_cell_length_c 5.172
_cell_angle_alpha 90.00
_cell_angle_beta 90.00
_cell_angle_gamma 90.00
_symmetry_space_group_name_H-M 'P 4/m m m'
_symmetry_Int_Tables_number 123
_symmetry_space_group_name_Hall '-P 4 2'
loop_
_atom_site_label
_atom_site_type_symbol
_atom_site_fract_x
_atom_site_fract_y
_atom_site_fract_z
Tl1 Tl 0.000 0.000 0.000
Ni1 Ni 0.000 0.000 0.500
Ge1 Ge 0.000 0.500 0.500
Se1 Se 0.500 0.500 0.000

2.
# GGA-PBE BiWBr2, optimized geometry
# ΔE to the lowest computed polymorph, kJ/mol of formula units: 11
# Formation energy without anion corrections, eV/f.u.: 2.1
# Total magnetization, μB/cell: 0.00
data_BiWBr2
_cell_length_a 3.2722
_cell_length_b 3.2722
_cell_length_c 36.3656
_cell_angle_alpha 90.00
_cell_angle_beta 90.00
_cell_angle_gamma 120.00
_symmetry_space_group_name_H-M 'R -3 m'
_symmetry_Int_Tables_number 166
_symmetry_space_group_name_Hall '-R 3 2"'
loop_
_atom_site_label
_atom_site_type_symbol
_atom_site_fract_x
_atom_site_fract_y
_atom_site_fract_z
Bi1 Bi 0.0000 0.0000 0.0000
W1 W 0.0000 0.0000 0.5000
Br1 Br 0.0000 0.0000 0.4345

3.
# GGA-PBE La2CeH, optimized geometry
# ΔE to the lowest computed polymorph, kJ/mol of formula units: 68
# Total magnetization, μB/cell: 0.00
data_La2CeH
_cell_length_a 3.363
_cell_length_b 3.363
_cell_length_c 8.549
_cell_angle_alpha 90.00
_cell_angle_beta 90.00
_cell_angle_gamma 90.00
_symmetry_space_group_name_H-M 'P 4/m m m'
_symmetry_Int_Tables_number 123
_symmetry_space_group_name_Hall '-P 4 2'
loop_
_atom_site_label
_atom_site_type_symbol
_atom_site_fract_x
_atom_site_fract_y
_atom_site_fract_z
La1 La 0.000 0.000 0.194
Ce1 Ce 0.500 0.500 0.500
H1 H 0.500 0.500 0.000